<A>
The following is a DFT calculation (PBE+U) of crystalline KNiF at its relaxed geometry. Values from VASP.

Properties
**Symmetry**: Cm (8)

```
&SYSTEM
  ibrav = 0, nat = 6, ntyp = 3
/
ATOMIC_SPECIES
K 39.10 K.upf
Ni 58.69 Ni.upf
F 19.00 F.upf
ATOMIC_POSITIONS crystal
K 0.0000 0.0000 0.0000
K 0.1734 0.1734 0.6731
Ni 0.4010 0.4010 0.4036
Ni 0.7722 0.7722 0.2747
F 0.5411 0.5411 0.3578
F 0.6324 0.6324 0.9490
CELL_PARAMETERS angstrom
6.7800 -1.8002 0.0000
6.7800 1.8002 0.0000
-2.4446 0.0000 5.2239
```

<B>
The following is a DFT calculation (PBE+U) of crystalline KNiF at its relaxed geometry. Values from VASP.

Properties
**Symmetry**: Pnma (62)

```
&SYSTEM
  ibrav = 0, nat = 12, ntyp = 3
/
ATOMIC_SPECIES
K 39.10 K.upf
Ni 58.69 Ni.upf
F 19.00 F.upf
ATOMIC_POSITIONS crystal
K 0.2330 0.2500 0.0730
K 0.2670 0.7500 0.5730
K 0.7330 0.2500 0.4270
K 0.7670 0.7500 0.9270
Ni 0.1982 0.2500 0.7032
Ni 0.3018 0.7500 0.2032
Ni 0.6982 0.2500 0.7968
Ni 0.8018 0.7500 0.2968
F 0.2329 0.2500 0.5431
F 0.2671 0.7500 0.0431
F 0.7329 0.2500 0.9569
F 0.7671 0.7500 0.4569
CELL_PARAMETERS angstrom
4.1898 0.0000 0.0000
0.0000 5.4147 0.0000
0.0000 0.0000 12.6259
```

From most stable to least stable, the computed energies give <A>, <B>.